Computed, not measured: an optimized crystal structure of SmH7Pt2 at the GGA-PBE level of DFT.

Lattice parameters (Å, degrees): 3.594 5.723 5.723 130.04 90.00 90.00
Element x y z (fractional)
Sm  0.000  0.000  0.000
H  0.000  0.665  0.335
H  0.000  0.335  0.665
H  0.500  0.028  0.291
H  0.500  0.972  0.709
H  0.500  0.291  0.028
H  0.500  0.709  0.972
H  0.500  0.500  0.500
Pt  0.500  0.669  0.331
Pt  0.500  0.331  0.669

E_tot, eV/atom: -4.2283
Size of the total moment, μB/f.u.: 0.0



Computed, not measured: an optimized crystal structure of Th6FeTe3Ir2 at the GGA-PBE level of DFT.

Lattice parameters (Å, degrees): 7.220 7.220 8.043 98.59 98.59 120.02
Element x y z (fractional)
Th  0.934  0.613  0.803
Th  0.746  0.746  0.199
Th  0.066  0.387  0.197
Th  0.613  0.934  0.803
Th  0.254  0.254  0.801
Th  0.387  0.066  0.197
Fe  0.000  0.000  0.000
Te  0.169  0.831  0.500
Te  0.831  0.169  0.500
Te  0.500  0.500  0.500
Ir  0.334  0.666  0.000
Ir  0.666  0.334  0.000

Size of the total moment, μB/f.u.: 0.0
Energy relative to the elements, uncorrected, eV per atom: -0.9693



Computed, not measured: an optimized crystal structure of Tl2PtI4Cl2 at the GGA-PBE level of DFT.

Lattice parameters (Å, degrees): 8.021 7.546 7.546 63.22 57.87 57.87
Element x y z (fractional)
Tl  0.205  0.748  0.748
Tl  0.795  0.252  0.252
Pt  0.500  0.000  0.000
I  0.290  0.733  0.214
I  0.710  0.786  0.267
I  0.710  0.267  0.786
I  0.290  0.214  0.733
Cl  0.224  0.232  0.232
Cl  0.776  0.768  0.768

Size of the total moment, μB/f.u.: 0.0
Energy relative to the elements, uncorrected, eV per atom: -0.5009



Computed, not measured: an optimized crystal structure of SrZrFe2Bi at the GGA-PBE level of DFT.

Lattice parameters (Å, degrees): 4.944 5.685 4.944 90.00 90.00 90.00
Element x y z (fractional)
Sr  0.500  0.500  0.500
Bi  0.000  0.500  0.000
Zr  0.000  0.000  0.000
Fe  0.000  0.000  0.500
Fe  0.500  0.000  0.000

Size of the total moment, μB/f.u.: 5.2
Calculated formation energy, eV/atom: 0.63



Computed, not measured: an optimized crystal structure of Y3Ag2Pd8 at the GGA-PBE level of DFT.

Lattice parameters (Å, degrees): 5.349 5.349 10.700 75.52 75.52 60.00
Element x y z (fractional)
Y  0.000  0.000  0.000
Y  0.812  0.812  0.565
Y  0.188  0.188  0.435
Ag  0.638  0.638  0.086
Ag  0.362  0.362  0.914
Pd  0.723  0.723  0.831
Pd  0.277  0.277  0.169
Pd  0.228  0.732  0.307
Pd  0.732  0.228  0.307
Pd  0.732  0.732  0.307
Pd  0.268  0.772  0.693
Pd  0.772  0.268  0.693
Pd  0.268  0.268  0.693

Size of the total moment, μB/f.u.: 0.0
Calculated formation energy, eV/atom: -0.45



Computed, not measured: an optimized crystal structure of NaTe2Au at the GGA-PBE level of DFT.

Lattice parameters (Å, degrees): 5.243 5.243 5.243 60.00 60.00 60.00
Element x y z (fractional)
Na  0.000  0.000  0.000
Te  0.250  0.250  0.250
Te  0.750  0.750  0.750
Au  0.500  0.500  0.500

Excess energy over the best structure of this formula in the dataset, eV/f.u.: 1.358
Size of the total moment, μB/f.u.: 0.0
Energy relative to the elements, uncorrected, eV per atom: -0.0155



Computed, not measured: an optimized crystal structure of CsSc3Si at the GGA-PBE level of DFT.

Lattice parameters (Å, degrees): 5.311 5.311 5.311 90.00 90.00 90.00
Element x y z (fractional)
Cs  0.500  0.500  0.500
Sc  0.000  0.500  0.000
Sc  0.000  0.000  0.500
Sc  0.500  0.000  0.000
Si  0.000  0.000  0.000

Excess energy over the best structure of this formula in the dataset, eV/f.u.: 0.000
Size of the total moment, μB/f.u.: 0.0
Energy relative to the elements, uncorrected, eV per atom: 0.3449



Computed, not measured: an optimized crystal structure of PPt2 at the GGA-PBE level of DFT.

Lattice parameters (Å, degrees): 5.791 5.791 5.791 90.00 90.00 90.00
Element x y z (fractional)
P  0.000  0.000  0.000
P  0.500  0.500  0.000
P  0.500  0.000  0.500
P  0.000  0.500  0.500
Pt  0.643  0.643  0.357
Pt  0.357  0.357  0.643
Pt  0.143  0.857  0.643
Pt  0.857  0.143  0.357
Pt  0.357  0.143  0.143
Pt  0.643  0.857  0.857
Pt  0.857  0.357  0.857
Pt  0.143  0.643  0.143

Size of the total moment, μB/f.u.: 0.0
Calculated formation energy, eV/atom: -0.16



Computed, not measured: an optimized crystal structure of TbHf2ReC4 at the GGA-PBE level of DFT.

Lattice parameters (Å, degrees): 3.313 6.032 11.559 90.00 90.00 105.94
Element x y z (fractional)
Tb  0.103  0.205  0.750
Tb  0.897  0.795  0.250
Hf  0.370  0.740  0.538
Hf  0.630  0.260  0.038
Hf  0.630  0.260  0.462
Hf  0.370  0.740  0.962
Re  0.839  0.679  0.750
Re  0.161  0.321  0.250
C  0.262  0.524  0.117
C  0.738  0.476  0.617
C  0.738  0.476  0.883
C  0.262  0.524  0.383
C  0.000  0.000  0.500
C  0.000  0.000  0.000
C  0.440  0.879  0.750
C  0.560  0.121  0.250

Size of the total moment, μB/f.u.: 0.0
Calculated formation energy, eV/atom: -0.37



Computed, not measured: an optimized crystal structure of AlSiN2Cl at the GGA-PBE level of DFT.

Lattice parameters (Å, degrees): 3.684 5.687 3.684 90.00 90.00 90.00
Element x y z (fractional)
Si  0.000  0.500  0.000
N  0.000  0.000  0.500
N  0.500  0.000  0.000
Al  0.000  0.000  0.000
Cl  0.500  0.500  0.500

Size of the total moment, μB/f.u.: 0.1
Energy relative to the elements, uncorrected, eV per atom: 0.8148



Computed, not measured: an optimized crystal structure of Ac4Ga2S at the GGA-PBE level of DFT.

Lattice parameters (Å, degrees): 4.561 7.144 7.981 75.91 73.40 71.38
Element x y z (fractional)
Ac  0.086  0.208  0.620
Ac  0.914  0.792  0.380
Ac  0.325  0.263  0.087
Ac  0.675  0.737  0.913
Ga  0.388  0.560  0.665
Ga  0.612  0.440  0.335
S  0.000  0.000  0.000

Excess energy over the best structure of this formula in the dataset, eV/f.u.: 0.000
Size of the total moment, μB/f.u.: 0.0
Energy relative to the elements, uncorrected, eV per atom: -0.8183



Computed, not measured: an optimized crystal structure of Ac3Cu2Ag3 at the GGA-PBE level of DFT.

Lattice parameters (Å, degrees): 4.513 6.176 16.766 90.00 90.00 111.43
Element x y z (fractional)
Ac  0.882  0.764  0.407
Ac  0.118  0.236  0.907
Ac  0.882  0.764  0.093
Ac  0.118  0.236  0.593
Ac  0.612  0.223  0.250
Ac  0.388  0.777  0.750
Cu  0.822  0.644  0.885
Cu  0.178  0.356  0.385
Cu  0.822  0.644  0.615
Cu  0.178  0.356  0.115
Ag  0.597  0.193  0.447
Ag  0.403  0.807  0.947
Ag  0.597  0.193  0.053
Ag  0.403  0.807  0.553
Ag  0.321  0.643  0.250
Ag  0.679  0.357  0.750

Size of the total moment, μB/f.u.: 0.0
Calculated formation energy, eV/atom: -0.23